# 1
The following is a DFT calculation (PBE) of an optimized crystal structure of Pm5Os2Pd.

## Properties
Formation enthalpy at 0 K: -284 meV per atom
SG: I4/mcm

a b c (Å): 8.7136 8.7136 8.7136
angles (deg): 126.47 126.47 79.12
Element x y z (fractional)
Pm 0.0000 0.0000 0.0000
Pm 0.0253 0.5253 0.8248
Pm 0.2006 0.0253 0.5000
Pm 0.2994 0.7994 0.8248
Pm 0.4747 0.2994 0.5000
Pm 0.5000 0.5000 0.0000
Pm 0.5253 0.7006 0.5000
Pm 0.7006 0.2006 0.1752
Pm 0.7994 0.9747 0.5000
Pm 0.9747 0.4747 0.1752
Os 0.1360 0.3640 0.5000
Os 0.3640 0.8640 0.2280
Os 0.6360 0.1360 0.7720
Os 0.8640 0.6360 0.5000
Pd 0.2500 0.2500 0.0000
Pd 0.7500 0.7500 0.0000


# 2
The following is a DFT calculation (PBE) of an optimized crystal structure of UCd2PbS6.

## Properties
Uncorrected formation energy: -0.70 eV per atom
SG: R3

a b c (Å): 7.3893 7.3893 7.3893
angles (deg): 54.90 54.90 54.90
Element x y z (fractional)
U 0.0000 0.0000 0.0000
Cd 0.3185 0.3185 0.3185
Cd 0.8039 0.8039 0.8039
Pb 0.5121 0.5121 0.5121
S 0.0862 0.3884 0.7532
S 0.1988 0.9361 0.6094
S 0.3884 0.7532 0.0862
S 0.6094 0.1988 0.9361
S 0.7532 0.0862 0.3884
S 0.9361 0.6094 0.1988


Record-wise calculated volume values, in Å³/f.u.: 206.90; 251.45